A plane-wave DFT calculation with PBE was carried out for a geometry-optimized Pm2GeBPt6 structure. Values from VASP.

symmetry	Pmmn (59)
total DFT energy (no corrections)	-131.6	eV/cell

Cell and atoms, written as Quantum ESPRESSO input:
```
&SYSTEM
  ibrav = 0, nat = 20, ntyp = 4
/
ATOMIC_SPECIES
Pt 195.08 Pt.upf
Ge 72.64 Ge.upf
Pm 145.00 Pm.upf
B 10.81 B.upf
CELL_PARAMETERS angstrom
-0.9867 -5.3541 1.8228
3.3254 1.5656 6.3988
-7.6088 2.5371 3.3335
ATOMIC_POSITIONS angstrom
Pt -0.7271 -3.9631 1.3566
Pt -0.7199 1.5448 8.4971
Pt -0.2525 -1.3876 0.4798
Pt -3.1561 -2.0747 5.6912
Pt -2.9065 3.2446 7.9571
Pt 0.9563 1.9566 6.2648
Pt 1.1970 -3.1222 5.1085
Pt -1.9287 -1.7995 2.7121
Pt -5.6747 -0.5504 4.3533
Pt 1.6979 -0.4044 4.1832
Pt -1.2320 -1.2339 9.4431
Pt -2.6702 0.5615 4.7937
Ge -1.5135 2.3471 6.0751
Ge 0.5411 -2.1900 2.9018
Pm -0.7271 0.9922 2.5209
Pm -3.5641 0.2715 7.9100
Pm -0.2453 -0.8351 6.4560
Pm -5.0172 2.4227 4.4004
B -3.6259 -1.0922 3.8710
B 2.6535 1.2493 5.1059
```